Entry from Alexandria via LeMat-Bulk: a geometry-optimized AcThSi2Pt5 structure (GGA-PBE).

Cell: 4.3571 4.3571 10.6842 Å, 90.00 90.00 90.00°
Closest atoms and distances in Å follow each position.
Positions (direct):
Ac (0.0000, 0.0000, 0.5000)  4 Pt 3.08
Pt (0.5000, 0.0000, 0.8108)  2 Si 2.38
Pt (0.0000, 0.5000, 0.8108)  2 Si 2.38
Pt (0.5000, 0.0000, 0.1892)  2 Si 2.38
Si (0.5000, 0.5000, 0.2799)  5 Pt 2.35-2.38
Si (0.5000, 0.5000, 0.7201)  5 Pt 2.35-2.38
Pt (0.5000, 0.5000, 0.5000)  2 Si 2.35
Pt (0.0000, 0.5000, 0.1892)  2 Si 2.38
Th (0.0000, 0.0000, 0.0000)  8 Pt 2.97

## Properties
Crystal system: tetragonal
Formation energy from raw total energies in eV per formula unit: -8.58
Volume in Å³/atom: 22.54